A geometry-optimized Al2CuW structure. Source: Alexandria via LeMat-Bulk, functional PBE.

Geometry as CIF:
```
data_Al2CuW
_chemical_formula_sum 'Al4 Cu2 W2'
_symmetry_space_group_name_H-M 'I m m 2'
_symmetry_Int_Tables_number 44
_cell_length_a 2.914
_cell_length_b 4.367
_cell_length_c 9.143
_cell_angle_alpha 90.00
_cell_angle_beta 90.00
_cell_angle_gamma 90.00
loop_
_symmetry_equiv_pos_as_xyz
'x,y,z'
'-x,-y,z'
'-x,y,z'
'x,-y,z'
'x+1/2,y+1/2,z+1/2'
'-x+1/2,-y+1/2,z+1/2'
'-x+1/2,y+1/2,z+1/2'
'x+1/2,-y+1/2,z+1/2'
loop_
_atom_site_label
_atom_site_fract_x
_atom_site_fract_y
_atom_site_fract_z
Al1 0.000 0.000 0.000
Al2 0.000 0.500 0.232
Cu1 0.000 0.500 0.728
W1 0.000 0.000 0.474
```

Computed properties:
As for the total magnetization: 0.00 μB per cell. As for the uncorrected energy: -6.155 eV per atom. The density of states at the Fermi level comes out at 1.682 states/eV/f.u. The value obtained for the energy above the most stable polymorph in this dataset is 68 meV per atom. The energy of formation from the pure elements comes out at -8 kJ/mol of formula units.